--- 1 ---
ScMo2W | PBE | relaxed

```
ScMo2W
1.0
3.2460 0.0000 0.0000
0.0000 4.5636 0.0000
0.0000 0.0000 9.1838
Sc Mo W
2 4 2
Direct
0.0000 0.0000 0.0000
0.5000 0.5000 0.0000
0.0000 0.5000 0.2633
0.0000 0.5000 0.7367
0.5000 0.0000 0.2633
0.5000 0.0000 0.7367
0.0000 0.0000 0.5000
0.5000 0.5000 0.5000
```

Output
symmetry	Cmmm, No. 65

--- 2 ---
ScMo2W | PBE | relaxed

```
ScMo2W
1.0
3.1728 0.0000 0.0000
0.0000 3.1728 0.0000
0.0000 0.0000 6.8286
Sc Mo W
1 2 1
Direct
0.0000 0.0000 0.0000
0.0000 0.0000 0.5010
0.5000 0.5000 0.7233
0.5000 0.5000 0.2776
```

Output
symmetry	P4mm, No. 99

Quick ranking, most stable first: 1, 2.